(1)
First-principles (GGA-PBE) data for a relaxed Cd5In5Ga2 crystal, as listed in Alexandria.

Output
magnetic moment	0.00	μB/f.u.
formation energy from the elements	0.057	eV/atom

```
data_Cd5In5Ga2
_cell_length_a 15.643
_cell_length_b 4.815
_cell_length_c 9.434
_cell_angle_alpha 90.00
_cell_angle_beta 124.14
_cell_angle_gamma 90.00
_symmetry_space_group_name_H-M 'C 1 2/m 1'
_symmetry_Int_Tables_number 12
loop_
_symmetry_equiv_pos_as_xyz
'x,y,z'
'-x,-y,-z'
'-x,y,-z'
'x,-y,z'
'x+1/2,y+1/2,z'
'-x+1/2,-y+1/2,-z'
'-x+1/2,y+1/2,-z'
'x+1/2,-y+1/2,z'
loop_
_atom_site_label
_atom_site_fract_x
_atom_site_fract_y
_atom_site_fract_z
_atom_site_occupancy
Cd1 0.000 0.000 0.000 1
Cd2 0.077 0.000 0.752 1
Cd3 0.245 0.000 0.277 1
In1 0.000 0.500 0.500 1
In2 0.094 0.500 0.266 1
In3 0.172 0.500 0.002 1
Ga1 0.157 0.000 0.515 1
```

***

(2)
First-principles (GGA-PBE) data for a relaxed Cd5In2Ga crystal, as listed in Alexandria.

Output
energy above the lowest structure with this stoichiometry	0	meV per atom
magnetic moment	0.00	μB/f.u.
formation energy from the elements	0.028	eV/atom

```
data_Cd5In2Ga
_cell_length_a 5.549
_cell_length_b 5.777
_cell_length_c 6.210
_cell_angle_alpha 107.67
_cell_angle_beta 93.80
_cell_angle_gamma 97.65
_symmetry_space_group_name_H-M 'P 1'
_symmetry_Int_Tables_number 1
loop_
_symmetry_equiv_pos_as_xyz
'x,y,z'
loop_
_atom_site_label
_atom_site_fract_x
_atom_site_fract_y
_atom_site_fract_z
_atom_site_occupancy
Cd1 0.000 0.000 0.000 1
Cd2 0.002 0.991 0.494 1
Cd3 0.266 0.481 0.355 1
Cd4 0.494 0.974 0.245 1
Cd5 0.768 0.502 0.114 1
In1 0.492 0.993 0.754 1
In2 0.771 0.491 0.618 1
Ga1 0.267 0.489 0.858 1
```

***

(3)
First-principles (GGA-PBE) data for a relaxed Cd5In4Ga crystal, as listed in Alexandria.

Output
energy above the lowest structure with this stoichiometry	5	meV per atom
magnetic moment	0.00	μB/f.u.
formation energy from the elements	0.047	eV/atom

```
data_Cd5In4Ga
_cell_length_a 3.336
_cell_length_b 3.336
_cell_length_c 21.772
_cell_angle_alpha 90.00
_cell_angle_beta 90.00
_cell_angle_gamma 90.00
_symmetry_space_group_name_H-M 'P 4/m m m'
_symmetry_Int_Tables_number 123
_symmetry_space_group_name_Hall '-P 4 2'
loop_
_atom_site_label
_atom_site_fract_x
_atom_site_fract_y
_atom_site_fract_z
_atom_site_occupancy
Cd1 0.000 0.000 0.000 1
Cd2 0.000 0.000 0.205 1
Cd3 0.000 0.000 0.410 1
In1 0.500 0.500 0.102 1
In2 0.500 0.500 0.307 1
Ga1 0.500 0.500 0.500 1
```